Density functional theory data (PBE-GGA) for a geometry-optimized SnGe2Rh2 structure.

The value obtained for the final energy is -5.85 eV/atom. As for the crystal system: tetragonal. The value obtained for the density of states at the Fermi level is 0.573 states/eV/atom. The formation energy is -0.266 eV per atom. Its relative energy among the computed polymorphs is 1 meV per atom.

The structure in CIF format:
```
data_SnGe2Rh2
_chemical_formula_sum 'Sn2 Ge4 Rh4'
_symmetry_space_group_name_H-M 'P 4/m b m'
_symmetry_Int_Tables_number 127
_symmetry_space_group_name_Hall '-P 4 2ab'
_cell_length_a 7.5784
_cell_length_b 7.5784
_cell_length_c 2.9358
_cell_angle_alpha 90.00
_cell_angle_beta 90.00
_cell_angle_gamma 90.00
loop_
_atom_site_label
_atom_site_fract_x
_atom_site_fract_y
_atom_site_fract_z
_atom_site_occupancy
Sn1 0.0000 0.0000 0.0000 1
Ge1 0.1470 0.3530 0.5000 1
Rh1 0.1433 0.6433 0.0000 1
```


Density functional theory data (PBE-GGA) for a geometry-optimized AcNd2SmSe4 structure.

The value obtained for the final energy is -5.86 eV/atom. As for the crystal system: monoclinic. The value obtained for the density of states at the Fermi level is 0.635 states/eV/atom.

The structure in CIF format:
```
data_AcNd2SmSe4
_chemical_formula_sum 'Ac1 Nd2 Sm1 Se4'
_symmetry_space_group_name_H-M 'P 1 2/m 1'
_symmetry_Int_Tables_number 10
_cell_length_a 7.3928
_cell_length_b 4.2305
_cell_length_c 7.4909
_cell_angle_alpha 90.00
_cell_angle_beta 108.91
_cell_angle_gamma 90.00
loop_
_symmetry_equiv_pos_as_xyz
'x,y,z'
'-x,-y,-z'
'-x,y,-z'
'x,-y,z'
loop_
_atom_site_label
_atom_site_fract_x
_atom_site_fract_y
_atom_site_fract_z
_atom_site_occupancy
Ac1 0.0000 0.0000 0.0000 1
Nd1 0.5000 0.0000 0.5000 1
Nd2 0.5000 0.5000 0.0000 1
Sm1 0.0000 0.5000 0.5000 1
Se1 0.2508 0.0000 0.7414 1
Se2 0.2579 0.5000 0.2619 1
```


Density functional theory data (PBE-GGA) for a geometry-optimized Ca2PaAgS5 structure.

The value obtained for the final energy is -5.66 eV/atom. As for the crystal system: orthorhombic.

The structure in CIF format:
```
data_Ca2PaAgS5
_chemical_formula_sum 'Ca8 Pa4 Ag4 S20'
_symmetry_space_group_name_H-M 'C m c 21'
_symmetry_Int_Tables_number 36
_cell_length_a 4.0627
_cell_length_b 16.3573
_cell_length_c 14.2882
_cell_angle_alpha 90.00
_cell_angle_beta 90.00
_cell_angle_gamma 90.00
loop_
_symmetry_equiv_pos_as_xyz
'x,y,z'
'-x,-y,z+1/2'
'-x,y,z'
'x,-y,z+1/2'
'x+1/2,y+1/2,z'
'-x+1/2,-y+1/2,z+1/2'
'-x+1/2,y+1/2,z'
'x+1/2,-y+1/2,z+1/2'
loop_
_atom_site_label
_atom_site_fract_x
_atom_site_fract_y
_atom_site_fract_z
_atom_site_occupancy
Ca1 0.0000 0.0577 0.0000 1
Ca2 0.0000 0.0588 0.2650 1
Pa1 0.0000 0.2455 0.6340 1
Ag1 0.0000 0.3906 0.0150 1
S1 0.0000 0.0862 0.6280 1
S2 0.0000 0.2362 0.0092 1
S3 0.0000 0.2410 0.2537 1
S4 0.0000 0.4069 0.6333 1
S5 0.0000 0.4953 0.8856 1
```


Density functional theory data (PBE-GGA) for a geometry-optimized B2C structure.

The value obtained for the final energy is -7.03 eV/atom. As for the crystal system: monoclinic. The value obtained for the density of states at the Fermi level is 0.179 states/eV/atom. The formation energy is 0.493 eV per atom. Its relative energy among the computed polymorphs is 308 meV per atom.

The structure in CIF format:
```
data_B2C
_chemical_formula_sum 'B8 C4'
_symmetry_space_group_name_H-M 'P 1 m 1'
_symmetry_Int_Tables_number 6
_cell_length_a 4.1450
_cell_length_b 2.5531
_cell_length_c 8.6644
_cell_angle_alpha 90.00
_cell_angle_beta 93.92
_cell_angle_gamma 90.00
loop_
_symmetry_equiv_pos_as_xyz
'x,y,z'
'x,-y,z'
loop_
_atom_site_label
_atom_site_fract_x
_atom_site_fract_y
_atom_site_fract_z
_atom_site_occupancy
B1 0.0000 0.0000 0.0000 1
B2 0.0116 0.0000 0.6075 1
B3 0.1934 0.0000 0.8284 1
B4 0.3958 0.5000 0.4276 1
B5 0.4926 0.5000 0.8033 1
B6 0.6898 0.5000 0.9909 1
B7 0.7934 0.5000 0.6887 1
B8 0.8779 0.0000 0.3494 1
C1 0.2061 0.0000 0.4610 1
C2 0.2930 0.0000 0.1179 1
C3 0.4622 0.5000 0.1584 1
C4 0.6845 0.5000 0.3086 1
```


Density functional theory data (PBE-GGA) for a geometry-optimized LaCr2Fe structure.

The value obtained for the final energy is -7.37 eV/atom. As for the crystal system: cubic. The value obtained for the density of states at the Fermi level is 1.245 states/eV/atom. The formation energy is 0.792 eV per atom. Its relative energy among the computed polymorphs is 429 meV per atom.

The structure in CIF format:
```
data_LaCr2Fe
_chemical_formula_sum 'La4 Cr8 Fe4'
_symmetry_space_group_name_H-M 'F m -3 m'
_symmetry_Int_Tables_number 225
_symmetry_space_group_name_Hall '-F 4 2 3'
_cell_length_a 6.1710
_cell_length_b 6.1710
_cell_length_c 6.1710
_cell_angle_alpha 90.00
_cell_angle_beta 90.00
_cell_angle_gamma 90.00
loop_
_atom_site_label
_atom_site_fract_x
_atom_site_fract_y
_atom_site_fract_z
_atom_site_occupancy
La1 0.0000 0.0000 0.0000 1
Cr1 0.2500 0.2500 0.2500 1
Fe1 0.0000 0.0000 0.5000 1
```


Density functional theory data (PBE-GGA) for a geometry-optimized PrThPbAu structure.

The value obtained for the final energy is -5.25 eV/atom. As for the crystal system: cubic. The value obtained for the density of states at the Fermi level is 1.183 states/eV/atom. The formation energy is -0.451 eV per atom.

The structure in CIF format:
```
data_PrThPbAu
_chemical_formula_sum 'Pr4 Th4 Pb4 Au4'
_symmetry_space_group_name_H-M 'F -4 3 m'
_symmetry_Int_Tables_number 216
_symmetry_space_group_name_Hall 'F -4 2 3'
_cell_length_a 7.6906
_cell_length_b 7.6906
_cell_length_c 7.6906
_cell_angle_alpha 90.00
_cell_angle_beta 90.00
_cell_angle_gamma 90.00
loop_
_atom_site_label
_atom_site_fract_x
_atom_site_fract_y
_atom_site_fract_z
_atom_site_occupancy
Pr1 0.0000 0.0000 0.0000 1
Th1 0.0000 0.0000 0.5000 1
Pb1 0.2500 0.2500 0.7500 1
Au1 0.2500 0.2500 0.2500 1
```


Density functional theory data (PBE-GGA) for a geometry-optimized BeRe2O structure.

The value obtained for the final energy is -7.76 eV/atom. As for the crystal system: tetragonal. The value obtained for the density of states at the Fermi level is 1.095 states/eV/atom. Its relative energy among the computed polymorphs is 102 meV per atom.

The structure in CIF format:
```
data_BeRe2O
_chemical_formula_sum 'Be4 Re8 O4'
_symmetry_space_group_name_H-M 'I -4 2 d'
_symmetry_Int_Tables_number 122
_symmetry_space_group_name_Hall 'I -4 2bw'
_cell_length_a 3.7376
_cell_length_b 3.7376
_cell_length_c 14.8021
_cell_angle_alpha 90.00
_cell_angle_beta 90.00
_cell_angle_gamma 90.00
loop_
_atom_site_label
_atom_site_fract_x
_atom_site_fract_y
_atom_site_fract_z
_atom_site_occupancy
Be1 0.0000 0.0000 0.0000 1
Re1 0.2174 0.2500 0.6250 1
O1 0.0000 0.0000 0.5000 1
```


Density functional theory data (PBE-GGA) for a geometry-optimized Ba4CuAu structure.

The value obtained for the final energy is -1.90 eV/atom. As for the crystal system: cubic. The value obtained for the density of states at the Fermi level is 1.277 states/eV/atom. The formation energy is 0.612 eV per atom. Its relative energy among the computed polymorphs is 858 meV per atom.

The structure in CIF format:
```
data_Ba4CuAu
_chemical_formula_sum 'Ba16 Cu4 Au4'
_symmetry_space_group_name_H-M 'F -4 3 m'
_symmetry_Int_Tables_number 216
_symmetry_space_group_name_Hall 'F -4 2 3'
_cell_length_a 10.0767
_cell_length_b 10.0767
_cell_length_c 10.0767
_cell_angle_alpha 90.00
_cell_angle_beta 90.00
_cell_angle_gamma 90.00
loop_
_atom_site_label
_atom_site_fract_x
_atom_site_fract_y
_atom_site_fract_z
_atom_site_occupancy
Ba1 0.1253 0.1253 0.1253 1
Cu1 0.2500 0.2500 0.7500 1
Au1 0.0000 0.0000 0.5000 1
```